First-principles (PBE) data for a geometry-optimized UBi structure, as listed in the Open Quantum Materials Database.

Cell lengths 7.191, 7.191, 7.191 Å; angles 90.00, 90.00, 90.00 degrees
Space group F-43m (No. 216)
Unique sites:
U 0.000 0.000 0.000 x4
Bi 0.250 0.250 0.250 x4

DFT total energy = -0.4941 Ry/atom
Magnetic moment = 12.0 μB per cell
Volume = 93.0 Å³/f.u.
ρ = 7.99 g/cm3

***

First-principles (PBE) data for a geometry-optimized UBi structure, as listed in the Open Quantum Materials Database.

Cell lengths 5.751, 4.659, 8.440 Å; angles 90.00, 90.00, 90.00 degrees
Space group Pmma (No. 51)
Unique sites:
U 0.000 0.000 0.000 x2
U 0.250 0.500 0.084 x2
Bi 0.250 0.000 0.351 x2
Bi 0.250 0.500 0.716 x2

DFT total energy = -0.5520 Ry/atom
Magnetic moment = 6.2 μB per cell
Volume = 56.5 Å³/f.u.
ρ = 13.13 g/cm3

***

First-principles (PBE) data for a geometry-optimized UBi2 structure, as listed in the Open Quantum Materials Database.

Cell lengths 13.710, 13.710, 13.710 Å; angles 90.00, 90.00, 90.00 degrees
Space group Fd-3m (No. 227, origin choice 2)
Unique sites:
U 0.125 0.125 0.125 x8
Bi 0.000 0.000 0.000 x16

DFT total energy = -0.3793 Ry/atom
Magnetic moment = 10.8 μB per cell
Volume = 322.1 Å³/f.u.
ρ = 3.38 g/cm3

***

First-principles (PBE) data for a geometry-optimized UBiW structure, as listed in the Open Quantum Materials Database.

Cell lengths 6.737, 6.737, 6.737 Å; angles 90.00, 90.00, 90.00 degrees
Space group F-43m (No. 216)
Unique sites:
U 0.000 0.000 0.000 x4
Bi 0.000 0.000 0.500 x4
W 0.250 0.250 0.250 x4

DFT total energy = -0.6311 Ry/atom
Magnetic moment = 11.2 μB per cell
ΔE to the lowest computed polymorph = 0.000 eV per formula unit
Volume = 76.4 Å³/f.u.
ρ = 13.71 g/cm3

***

First-principles (PBE) data for a geometry-optimized UBiW structure, as listed in the Open Quantum Materials Database.

Cell lengths 6.865, 6.865, 6.865 Å; angles 90.00, 90.00, 90.00 degrees
Space group F-43m (No. 216)
Unique sites:
U 0.000 0.000 0.000 x4
Bi 0.250 0.250 0.250 x4
W 0.250 0.250 0.750 x4

DFT total energy = -0.5835 Ry/atom
Magnetic moment = 0.2 μB per cell
ΔE to the lowest computed polymorph = 1.943 eV per formula unit
Volume = 80.9 Å³/f.u.
ρ = 12.95 g/cm3

***

First-principles (PBE) data for a geometry-optimized YUBi structure, as listed in the Open Quantum Materials Database.

Cell lengths 7.432, 7.432, 7.432 Å; angles 90.00, 90.00, 90.00 degrees
Space group F-43m (No. 216)
Unique sites:
Y 0.000 0.000 0.000 x4
U 0.250 0.250 0.250 x4
Bi 0.250 0.250 0.750 x4

DFT total energy = -0.4821 Ry/atom
Magnetic moment = 23.2 μB per cell
Volume = 102.6 Å³/f.u.
ρ = 8.67 g/cm3

***

First-principles (PBE) data for a geometry-optimized YBiW2 structure, as listed in the Open Quantum Materials Database.

Cell lengths 6.921, 6.921, 6.921 Å; angles 90.00, 90.00, 90.00 degrees
Space group F-43m (No. 216)
Unique sites:
Y 0.000 0.000 0.000 x4
Bi 0.250 0.250 0.750 x4
W 0.000 0.000 0.500 x4
W 0.250 0.250 0.250 x4

DFT total energy = -0.6173 Ry/atom
Magnetic moment = 0.1 μB per cell
Volume = 82.9 Å³/f.u.
ρ = 13.34 g/cm3

***

First-principles (PBE) data for a geometry-optimized YBi2W structure, as listed in the Open Quantum Materials Database.

Cell lengths 7.339, 7.339, 7.339 Å; angles 90.00, 90.00, 90.00 degrees
Space group F-43m (No. 216)
Unique sites:
Y 0.000 0.000 0.000 x4
Bi 0.000 0.000 0.500 x4
Bi 0.250 0.250 0.250 x4
W 0.250 0.250 0.750 x4

DFT total energy = -0.4594 Ry/atom
Magnetic moment = 4.4 μB per cell
Volume = 98.8 Å³/f.u.
ρ = 11.61 g/cm3